Record 1
Density functional theory data (PBE) for a relaxed structure of RbTeN2Cl.

Results
- E above lowest polymorph (meV/atom) = 348
- density of states at the Fermi level (states/eV per atom) = 1.11
- E_form (uncorrected) (eV/atom) = 1.9888

a b c (Å): 5.5436 5.5436 7.3915
angles (deg): 90.00 90.00 90.00
Element x y z (fractional)
Rb 0.0000 0.0000 0.0000
N 0.5000 0.0000 0.0000
N 0.0000 0.5000 0.0000
Cl 0.5000 0.5000 0.5000
Te 0.0000 0.0000 0.5000

=====

Record 2
Density functional theory data (PBE) for a relaxed structure of Mg2Pt2Se.

Results
- density of states at the Fermi level (states/eV per atom) = 0.33
- E_form (uncorrected) (eV/atom) = -0.4625

a b c (Å): 7.9011 7.9011 2.8732
angles (deg): 90.00 90.00 90.00
Element x y z (fractional)
Pt 0.8713 0.3713 0.5000
Mg 0.3357 0.8357 0.0000
Se 0.0000 0.0000 0.0000
Mg 0.6643 0.1643 0.0000
Pt 0.3713 0.1287 0.5000
Se 0.5000 0.5000 0.0000
Pt 0.6287 0.8713 0.5000
Mg 0.1643 0.3357 0.0000
Mg 0.8357 0.6643 0.0000
Pt 0.1287 0.6287 0.5000

=====

Record 3
Density functional theory data (PBE) for a relaxed structure of Ac3DyP4.

Results
- formation energy from the elements (eV/atom) = -1.455
- density of states at the Fermi level (states/eV per atom) = 0.13

a b c (Å): 7.5245 7.5261 8.7011
angles (deg): 90.00 90.00 109.55
Element x y z (fractional)
Dy 0.7500 0.0000 0.8785
P 0.4904 0.2435 0.3659
Ac 0.7500 0.5000 0.1227
Ac 0.7500 0.5000 0.6288
P 0.0096 0.7565 0.3659
Ac 0.2500 0.5000 0.3712
P 0.4984 0.7674 0.1160
P 0.5016 0.2326 0.8840
P 0.9904 0.2435 0.6341
Ac 0.2500 0.0000 0.6279
P 0.0016 0.2326 0.1160
Ac 0.2500 0.5000 0.8773
P 0.9984 0.7674 0.8840
Dy 0.2500 0.0000 0.1215
Ac 0.7500 0.0000 0.3721
P 0.5096 0.7565 0.6341

=====

Record 4
Density functional theory data (PBE) for a relaxed structure of KZrTe2I.

Results
- E above lowest polymorph (meV/atom) = 1667
- density of states at the Fermi level (states/eV per atom) = 1.51
- E_form (uncorrected) (eV/atom) = 0.8313

a b c (Å): 5.8988 5.8988 5.9190
angles (deg): 90.00 90.00 90.00
Element x y z (fractional)
I 0.0000 0.0000 0.5000
Zr 0.5000 0.5000 0.5000
Te 0.0000 0.5000 0.0000
K 0.0000 0.0000 0.0000
Te 0.5000 0.0000 0.0000

=====

Record 5
Density functional theory data (PBE) for a relaxed structure of Pr2Si3GePt4.

Results
- density of states at the Fermi level (states/eV per atom) = 0.53
- E_form (uncorrected) (eV/atom) = -1.0614

a b c (Å): 4.3322 4.3322 9.8772
angles (deg): 90.00 90.00 90.00
Element x y z (fractional)
Pr 0.5000 0.0000 0.2529
Pt 0.0000 0.5000 0.3730
Ge 0.5000 0.5000 0.5000
Pt 0.5000 0.0000 0.6270
Pr 0.0000 0.5000 0.7471
Si 0.5000 0.0000 0.8728
Si 0.0000 0.5000 0.1272
Pt 0.5000 0.5000 0.0000
Si 0.0000 0.0000 0.5000
Pt 0.0000 0.0000 0.0000

=====

Record 6
Density functional theory data (PBE) for a relaxed structure of Tb4Pr8Er3.

Results
- formation energy from the elements (eV/atom) = 0.326
- density of states at the Fermi level (states/eV per atom) = 1.52

a b c (Å): 6.9214 9.2607 9.2607
angles (deg): 83.06 110.68 110.68
Element x y z (fractional)
Er 0.5000 0.5000 0.0000
Pr 0.8267 0.2970 0.2970
Pr 0.2903 0.2442 0.2442
Tb 0.5000 0.0000 0.0000
Pr 0.1733 0.7030 0.7030
Tb 0.0000 0.0000 0.0000
Tb 0.0000 0.5000 0.0000
Pr 0.0000 0.7052 0.2948
Pr 0.7097 0.7558 0.7558
Er 0.5000 0.0000 0.5000
Er 0.5000 0.5000 0.5000
Pr 0.5000 0.2465 0.7535
Pr 0.0000 0.2948 0.7052
Pr 0.5000 0.7535 0.2465
Tb 0.0000 0.0000 0.5000